The following is a GGA-PBE calculation of a relaxed structure of Zn8PdRh2, from Alexandria via LeMat-Bulk.

```
Zn8PdRh2
1.0
3.9330 -5.1496 0.0000
3.9330 5.1496 0.0000
0.0000 0.0000 4.1451
Zn Pd Rh
8 1 2
Direct
0.0344 0.3036 0.5000 Zn
0.2450 0.7550 0.0000 Zn
0.3036 0.0344 0.5000 Zn
0.3342 0.3342 0.0000 Zn
0.6658 0.6658 0.0000 Zn
0.6964 0.9656 0.5000 Zn
0.7550 0.2450 0.0000 Zn
0.9656 0.6964 0.5000 Zn
0.0000 0.0000 0.0000 Pd
0.3719 0.6281 0.5000 Rh
0.6281 0.3719 0.5000 Rh
```

Relative energy among the computed polymorphs = 0 meV per atom
Crystal system = orthorhombic
Density = 8.3 g cm⁻³
E_form = -0.26 eV/atom
Final energy = -2.9904 eV per atom
Magnetic moment = 0.000 μB/atom
Space group = No. 65



The following is a GGA-PBE calculation of a relaxed structure of CaLaIn, from Alexandria via LeMat-Bulk.

```
CaLaIn
1.0
5.3779 0.0000 0.0000
-2.6889 4.6574 0.0000
0.0000 0.0000 7.8409
Ca La In
2 2 2
Direct
0.3333 0.6667 0.1140 Ca
0.6667 0.3333 0.8860 Ca
0.3333 0.6667 0.5941 La
0.6667 0.3333 0.4059 La
0.0000 0.0000 0.2730 In
0.0000 0.0000 0.7270 In
```

Relative energy among the computed polymorphs = 166 meV per atom
Crystal system = trigonal
Density = 5.0 g cm⁻³
E_form = -0.28 eV/atom
Final energy = -3.5021 eV per atom
Magnetic moment = 0.000 μB/atom
Space group = No. 164



The following is a GGA-PBE calculation of a relaxed structure of K2GaPbI5, from Alexandria via LeMat-Bulk.

```
K2GaPbI5
1.0
2.4144 -10.2699 0.0000
2.4144 10.2699 0.0000
0.0000 0.0000 16.4581
K Ga Pb I
4 2 2 10
Direct
0.0825 0.9175 0.5000 K
0.1265 0.8735 0.1493 K
0.8735 0.1265 0.6493 K
0.9175 0.0825 0.0000 K
0.4500 0.5500 0.2999 Ga
0.5500 0.4500 0.7999 Ga
0.2331 0.7669 0.8826 Pb
0.7669 0.2331 0.3826 Pb
0.0806 0.9194 0.9224 I
0.2545 0.7455 0.5215 I
0.2904 0.7096 0.2511 I
0.3882 0.6118 0.8388 I
0.4989 0.5011 0.1164 I
0.5011 0.4989 0.6164 I
0.6118 0.3882 0.3388 I
0.7096 0.2904 0.7511 I
0.7455 0.2545 0.0215 I
0.9194 0.0806 0.4224 I
```

Crystal system = orthorhombic
Density = 4.0 g cm⁻³
Final energy = -2.7784 eV per atom
Magnetic moment = 0.000 μB/atom
Space group = No. 36
E_form (uncorrected) = -0.9250 eV/atom



The following is a GGA-PBE calculation of a relaxed structure of CaNdDyMg, from Alexandria via LeMat-Bulk.

```
CaNdDyMg
1.0
0.0000 3.9881 3.9881
3.9881 0.0000 3.9881
3.9881 3.9881 0.0000
Ca Nd Dy Mg
1 1 1 1
Direct
0.0000 0.0000 0.0000 Ca
0.2500 0.2500 0.2500 Nd
0.7500 0.7500 0.7500 Dy
0.5000 0.5000 0.5000 Mg
```

Relative energy among the computed polymorphs = 74 meV per atom
Crystal system = cubic
Density = 4.9 g cm⁻³
E_form = 0.06 eV/atom
Final energy = -3.1838 eV per atom
Magnetic moment = 0.000 μB/atom
Space group = No. 216



In the order shown, the computed D(E_F) values come out to 0.2962 0.3048 0.0000 1.0993 states/eV per atom.